Here is a geometry-optimized TcO3 structure from the Open Quantum Materials Database. Energies are from PBE-GGA.

abc: 5.2223 8.9920 4.8900
angles: 90.00 111.40 90.00
Closest atoms and distances in Å follow each position.
Space group C2/m (No. 12)
Inequivalent atoms, fractional coordinates:
Tc1 0.0000 0.1670 0.0000 x4  6 O 1.91-1.92
O1 0.1822 0.0000 0.2335 x4  2 Tc 1.92
O2 0.2261 0.1960 0.7713 x8  2 Tc 1.91-1.92

ΔE to the lowest computed polymorph in eV per formula unit: 0.415
E_tot in eV/atom: -7.40